Entry from Alexandria: an optimized crystal structure of Sc7Ga2Cu2 (PBE).

Unit cell a=6.2542 b=6.5474 c=6.2542 alpha=90.00 beta=109.56 gamma=90.00
Closest atoms and distances in Å follow each position.
Element x y z (fractional)
Sc 0.0000 0.2671 0.4998  2 Cu 2.55
Sc 0.4998 0.7329 0.0000  2 Cu 2.55
Sc 0.0000 0.7329 0.5002  2 Cu 2.55
Sc 0.5002 0.2671 0.0000  2 Cu 2.55
Sc 0.0000 0.0000 0.0000  2 Cu 3.00
Sc 0.5000 0.7469 0.5000  2 Cu 2.68, 2 Ga 2.85
Sc 0.5000 0.2531 0.5000  2 Cu 2.68, 2 Ga 2.85
Ga 0.8257 0.5000 0.8257  1 Ga 2.51
Ga 0.1743 0.5000 0.1743  1 Ga 2.51
Cu 0.7062 0.9999 0.2938  6 Sc 2.55-2.68
Cu 0.2938 0.0001 0.7062  6 Sc 2.55-2.68

The energy relative to the elements comes out at -0.0897 eV per atom. Its energy is -5.414 eV/atom. As for the mass density: 4.0 g cm⁻³.